1.
# HoNiB

HoNiB after structural relaxation (PBE, Alexandria).

Summary:
**Size of the total moment**: 0.00 μB/atom
**ρ**: 8.9 g/cm³
**E_form**: -384 meV/atom
**SG**: P-6m2

a = 3.772 Å, b = 3.662 Å, c = 3.662 Å
α = 120.00°, β = 90.00°, γ = 90.00°
Sites, in units of the cell vectors:
Ni: 0.167 0.667 0.333
B: 0.167 0.000 0.000
Ho: 0.667 0.333 0.667


2.
# HoNi4B4

HoNi4B4 after structural relaxation (PBE, Alexandria).

Summary:
**Size of the total moment**: 0.00 μB/atom
**ρ**: 7.8 g/cm³
**E_form**: -414 meV/atom
**SG**: P4_2/n

a = 3.793 Å, b = 7.065 Å, c = 7.065 Å
α = 90.00°, β = 90.00°, γ = 90.00°
Sites, in units of the cell vectors:
Ho: 0.000 0.000 0.000
Ho: 0.500 0.500 0.500
Ni: 0.392 0.355 0.891
Ni: 0.892 0.609 0.855
Ni: 0.392 0.645 0.109
Ni: 0.108 0.145 0.609
Ni: 0.608 0.891 0.645
Ni: 0.108 0.855 0.391
Ni: 0.892 0.391 0.145
Ni: 0.608 0.109 0.355
B: 0.605 0.832 0.295
B: 0.605 0.168 0.705
B: 0.105 0.795 0.668
B: 0.895 0.332 0.795
B: 0.895 0.668 0.205
B: 0.395 0.295 0.168
B: 0.395 0.705 0.832
B: 0.105 0.205 0.332


3.
# HoNi6B

HoNi6B after structural relaxation (PBE, Alexandria).

Summary:
**Size of the total moment**: 0.09 μB/atom
**ρ**: 8.7 g/cm³
**E_form**: -164 meV/atom
**SG**: P4/mmm

a = 3.553 Å, b = 3.553 Å, c = 7.944 Å
α = 90.00°, β = 90.00°, γ = 90.00°
Sites, in units of the cell vectors:
Ho: 0.000 0.000 0.000
Ni: 0.500 0.000 0.648
Ni: 0.000 0.500 0.648
Ni: 0.500 0.500 0.148
Ni: 0.500 0.500 0.852
Ni: 0.000 0.500 0.352
Ni: 0.500 0.000 0.352
B: 0.000 0.000 0.500


4.
# HoNi5B3

HoNi5B3 after structural relaxation (PBE, Alexandria).

Summary:
**Size of the total moment**: 0.00 μB/atom
**ρ**: 8.3 g/cm³
**E_form**: -364 meV/atom
**SG**: Cmcm

a = 3.439 Å, b = 5.596 Å, c = 10.689 Å
α = 90.00°, β = 90.00°, γ = 107.89°
Sites, in units of the cell vectors:
Ho: 0.847 0.695 0.750
Ho: 0.153 0.305 0.250
Ni: 0.792 0.584 0.429
Ni: 0.208 0.416 0.929
Ni: 0.000 0.000 0.500
Ni: 0.000 0.000 0.000
Ni: 0.440 0.880 0.143
Ni: 0.560 0.120 0.857
Ni: 0.560 0.120 0.643
Ni: 0.792 0.584 0.071
Ni: 0.208 0.416 0.571
Ni: 0.440 0.880 0.357
B: 0.390 0.780 0.960
B: 0.884 0.767 0.250
B: 0.390 0.780 0.540
B: 0.610 0.220 0.460
B: 0.116 0.233 0.750
B: 0.610 0.220 0.040


5.
# HoNi4B2

HoNi4B2 after structural relaxation (PBE, Alexandria).

Summary:
**Size of the total moment**: 0.00 μB/atom
**ρ**: 8.9 g/cm³
**E_form**: -408 meV/atom
**SG**: Cmmm

a = 3.539 Å, b = 3.553 Å, c = 6.500 Å
α = 105.86°, β = 90.00°, γ = 90.00°
Sites, in units of the cell vectors:
Ho: 0.000 0.000 0.000
Ni: 0.500 0.823 0.646
Ni: 0.000 0.676 0.351
Ni: 0.500 0.177 0.354
Ni: 0.000 0.324 0.649
B: 0.500 0.592 0.184
B: 0.500 0.408 0.816


6.
# Ho3NiB7

Ho3NiB7 after structural relaxation (PBE, Alexandria).

Summary:
**Size of the total moment**: 0.00 μB/atom
**ρ**: 8.4 g/cm³
**E_form**: -535 meV/atom
**SG**: Cmcm

a = 3.415 Å, b = 8.020 Å, c = 9.326 Å
α = 90.00°, β = 90.00°, γ = 102.29°
Sites, in units of the cell vectors:
Ho: 0.106 0.212 0.438
Ho: 0.894 0.788 0.562
Ho: 0.243 0.487 0.750
Ho: 0.757 0.513 0.250
Ho: 0.106 0.212 0.062
Ho: 0.894 0.788 0.938
Ni: 0.945 0.890 0.250
Ni: 0.055 0.110 0.750
B: 0.462 0.924 0.750
B: 0.538 0.076 0.250
B: 0.479 0.958 0.407
B: 0.521 0.042 0.593
B: 0.521 0.042 0.907
B: 0.479 0.958 0.093
B: 0.370 0.740 0.349
B: 0.630 0.260 0.651
B: 0.273 0.546 0.468
B: 0.727 0.454 0.532
B: 0.727 0.454 0.968
B: 0.273 0.546 0.032
B: 0.370 0.740 0.151
B: 0.630 0.260 0.849


7.
# HoNi2B4

HoNi2B4 after structural relaxation (PBE, Alexandria).

Summary:
**Size of the total moment**: 0.00 μB/atom
**ρ**: 7.7 g/cm³
**E_form**: -325 meV/atom
**SG**: Immm

a = 3.111 Å, b = 3.315 Å, c = 7.189 Å
α = 103.33°, β = 102.49°, γ = 90.00°
Sites, in units of the cell vectors:
Ni: 0.802 0.802 0.605
Ni: 0.198 0.198 0.395
B: 0.651 0.651 0.303
B: 0.349 0.349 0.697
B: 0.105 0.605 0.210
B: 0.895 0.395 0.790
Ho: 0.500 0.000 0.000


8.
# HoNi12B6

HoNi12B6 after structural relaxation (PBE, Alexandria).

Summary:
**Size of the total moment**: 0.00 μB/atom
**ρ**: 8.0 g/cm³
**E_form**: -392 meV/atom
**SG**: Cmc2_1

a = 6.032 Å, b = 6.032 Å, c = 10.966 Å
α = 90.00°, β = 90.00°, γ = 104.81°
Sites, in units of the cell vectors:
Ho: 0.667 0.667 0.358
Ho: 0.333 0.333 0.858
Ni: 0.044 0.305 0.095
Ni: 0.956 0.695 0.595
Ni: 0.695 0.956 0.595
Ni: 0.305 0.044 0.095
Ni: 0.066 0.066 0.281
Ni: 0.934 0.934 0.781
Ni: 0.132 0.498 0.299
Ni: 0.868 0.502 0.799
Ni: 0.502 0.868 0.799
Ni: 0.498 0.132 0.299
Ni: 0.284 0.284 0.461
Ni: 0.716 0.716 0.961
Ni: 0.974 0.712 0.139
Ni: 0.026 0.288 0.639
Ni: 0.288 0.026 0.639
Ni: 0.712 0.974 0.139
Ni: 0.645 0.382 0.117
Ni: 0.355 0.618 0.617
Ni: 0.618 0.355 0.617
Ni: 0.382 0.645 0.117
Ni: 0.842 0.230 0.430
Ni: 0.158 0.770 0.930
Ni: 0.770 0.158 0.930
Ni: 0.230 0.842 0.430
B: 0.828 0.259 0.247
B: 0.172 0.741 0.747
B: 0.741 0.172 0.747
B: 0.259 0.828 0.247
B: 0.336 0.336 0.201
B: 0.664 0.664 0.701
B: 0.099 0.512 0.485
B: 0.901 0.488 0.985
B: 0.488 0.901 0.985
B: 0.512 0.099 0.485
B: 0.987 0.987 0.017
B: 0.013 0.013 0.517


9.
# HoNi12B6

HoNi12B6 after structural relaxation (PBE, Alexandria).

Summary:
**Size of the total moment**: 0.00 μB/atom
**ρ**: 8.1 g/cm³
**E_form**: -391 meV/atom
**SG**: R-3m

a = 6.008 Å, b = 6.008 Å, c = 6.008 Å
α = 104.48°, β = 104.48°, γ = 104.48°
Sites, in units of the cell vectors:
Ho: 0.000 0.000 0.000
Ni: 0.870 0.130 0.500
Ni: 0.814 0.548 0.548
Ni: 0.548 0.548 0.814
Ni: 0.452 0.186 0.452
Ni: 0.452 0.452 0.186
Ni: 0.186 0.452 0.452
Ni: 0.130 0.500 0.870
Ni: 0.500 0.870 0.130
Ni: 0.130 0.870 0.500
Ni: 0.870 0.500 0.130
Ni: 0.500 0.130 0.870
Ni: 0.548 0.814 0.548
B: 0.672 0.236 0.236
B: 0.236 0.236 0.672
B: 0.236 0.672 0.236
B: 0.764 0.764 0.328
B: 0.328 0.764 0.764
B: 0.764 0.328 0.764


10.
# HoNiB4

HoNiB4 after structural relaxation (PBE, Alexandria).

Summary:
**Size of the total moment**: 0.00 μB/atom
**ρ**: 7.7 g/cm³
**E_form**: -547 meV/atom
**SG**: Cmmm

a = 3.408 Å, b = 5.895 Å, c = 5.895 Å
α = 103.94°, β = 90.00°, γ = 90.00°
Sites, in units of the cell vectors:
Ho: 0.000 0.300 0.700
Ho: 0.000 0.700 0.300
Ni: 0.000 0.823 0.823
Ni: 0.000 0.177 0.177
B: 0.500 0.932 0.621
B: 0.500 0.068 0.379
B: 0.500 0.621 0.932
B: 0.500 0.379 0.068
B: 0.500 0.373 0.373
B: 0.500 0.627 0.627
B: 0.500 0.092 0.908
B: 0.500 0.908 0.092


11.
# HoNi3B

HoNi3B after structural relaxation (PBE, Alexandria).

Summary:
**Size of the total moment**: 0.00 μB/atom
**ρ**: 9.2 g/cm³
**E_form**: -394 meV/atom
**SG**: P6_3/mmc

a = 5.612 Å, b = 5.612 Å, c = 9.299 Å
α = 90.00°, β = 90.00°, γ = 120.00°
Sites, in units of the cell vectors:
Ho: 0.333 0.667 0.250
Ho: 0.667 0.333 0.750
Ho: 0.000 0.000 0.500
Ho: 0.000 0.000 0.000
Ni: 0.154 0.309 0.750
Ni: 0.309 0.154 0.250
Ni: 0.846 0.154 0.250
Ni: 0.154 0.846 0.750
Ni: 0.691 0.846 0.750
Ni: 0.846 0.691 0.250
Ni: 0.500 0.500 0.500
Ni: 0.500 0.000 0.000
Ni: 0.500 0.500 0.000
Ni: 0.500 0.000 0.500
Ni: 0.000 0.500 0.500
Ni: 0.000 0.500 0.000
B: 0.667 0.333 0.141
B: 0.333 0.667 0.641
B: 0.333 0.667 0.859
B: 0.667 0.333 0.359


12.
# HoNi5B2

HoNi5B2 after structural relaxation (PBE, Alexandria).

Summary:
**Size of the total moment**: 0.00 μB/atom
**ρ**: 8.9 g/cm³
**E_form**: -446 meV/atom
**SG**: Immm

a = 3.476 Å, b = 5.486 Å, c = 5.486 Å
α = 68.07°, β = 71.53°, γ = 71.53°
Sites, in units of the cell vectors:
Ho: 0.000 0.000 0.000
Ni: 0.000 0.500 0.500
Ni: 0.659 0.534 0.149
Ni: 0.341 0.466 0.851
Ni: 0.341 0.851 0.466
Ni: 0.659 0.149 0.534
B: 0.761 0.739 0.739
B: 0.239 0.261 0.261